# 1
# K3NbIr

A crystal of K3NbIr relaxed with PBEsol (SCAN, Alexandria via LeMat-Bulk).

```
data_K3NbIr
_chemical_formula_sum 'K3 Nb1 Ir1'
_cell_length_a 6.268
_cell_length_b 6.268
_cell_length_c 6.268
_cell_angle_alpha 90.00
_cell_angle_beta 90.00
_cell_angle_gamma 90.00
_symmetry_space_group_name_H-M 'P 1'
_symmetry_Int_Tables_number 1
_symmetry_space_group_name_Hall 'P 1'
loop_
_atom_site_label
_atom_site_type_symbol
_atom_site_fract_x
_atom_site_fract_y
_atom_site_fract_z
K1 K 0.000 0.000 0.500
Nb1 Nb 0.000 0.000 0.000
K2 K 0.500 0.000 0.000
K3 K 0.000 0.500 0.000
Ir1 Ir 0.500 0.500 0.500
```

Values from the calculation:
- Calculated formation energy: 1.9855 eV per atom
- Total moment: 7.39 μB per formula unit

=====

# 2
# LaMg2Al

A crystal of LaMg2Al relaxed with PBEsol (SCAN, Alexandria via LeMat-Bulk).

```
data_LaMg2Al
_chemical_formula_sum 'La1 Mg2 Al1'
_cell_length_a 5.112
_cell_length_b 5.112
_cell_length_c 5.112
_cell_angle_alpha 60.00
_cell_angle_beta 60.00
_cell_angle_gamma 60.00
_symmetry_space_group_name_H-M 'P 1'
_symmetry_Int_Tables_number 1
_symmetry_space_group_name_Hall 'P 1'
loop_
_atom_site_label
_atom_site_type_symbol
_atom_site_fract_x
_atom_site_fract_y
_atom_site_fract_z
Mg1 Mg 0.500 0.500 0.500
La1 La 0.250 0.250 0.250
Mg2 Mg 0.750 0.750 0.750
Al1 Al 0.000 0.000 0.000
```

Values from the calculation:
- Calculated formation energy: -0.2092 eV per atom
- Total moment: 0.01 μB per formula unit

=====

# 3
# CaB2W

A crystal of CaB2W relaxed with PBEsol (SCAN, Alexandria via LeMat-Bulk).

```
data_CaB2W
_chemical_formula_sum 'Ca2 B4 W2'
_cell_length_a 5.401
_cell_length_b 5.401
_cell_length_c 6.510
_cell_angle_alpha 114.51
_cell_angle_beta 114.51
_cell_angle_gamma 90.00
_symmetry_space_group_name_H-M 'P 1'
_symmetry_Int_Tables_number 1
_symmetry_space_group_name_Hall 'P 1'
loop_
_atom_site_label
_atom_site_type_symbol
_atom_site_fract_x
_atom_site_fract_y
_atom_site_fract_z
B1 B 0.271 0.875 0.250
W1 W 0.000 0.000 0.000
W2 W 0.250 0.750 0.500
Ca1 Ca 0.500 0.500 0.000
B2 B 0.625 0.729 0.750
B3 B 0.125 0.021 0.750
Ca2 Ca 0.750 0.250 0.500
B4 B 0.979 0.375 0.250
```

Values from the calculation:
- Calculated formation energy: 0.6980 eV per atom
- Total moment: 0.00 μB per formula unit

=====

# 4
# Hf2ZnCrAg

A crystal of Hf2ZnCrAg relaxed with PBEsol (SCAN, Alexandria via LeMat-Bulk).

```
data_Hf2ZnCrAg
_chemical_formula_sum 'Hf2 Zn1 Cr1 Ag1'
_cell_length_a 4.595
_cell_length_b 4.595
_cell_length_c 4.665
_cell_angle_alpha 90.00
_cell_angle_beta 90.00
_cell_angle_gamma 90.00
_symmetry_space_group_name_H-M 'P 1'
_symmetry_Int_Tables_number 1
_symmetry_space_group_name_Hall 'P 1'
loop_
_atom_site_label
_atom_site_type_symbol
_atom_site_fract_x
_atom_site_fract_y
_atom_site_fract_z
Cr1 Cr 0.000 0.000 0.000
Hf1 Hf 0.500 0.000 0.000
Hf2 Hf 0.000 0.500 0.000
Zn1 Zn 0.000 0.000 0.500
Ag1 Ag 0.500 0.500 0.500
```

Values from the calculation:
- Calculated formation energy: 0.6215 eV per atom
- Total moment: 0.01 μB per formula unit

=====

# 5
# RbB3Te2O9

A crystal of RbB3Te2O9 relaxed with PBEsol (SCAN, Alexandria via LeMat-Bulk).

```
data_RbB3Te2O9
_chemical_formula_sum 'Rb2 B6 Te4 O18'
_cell_length_a 5.327
_cell_length_b 6.426
_cell_length_c 12.841
_cell_angle_alpha 89.44
_cell_angle_beta 90.00
_cell_angle_gamma 90.00
_symmetry_space_group_name_H-M 'P 1'
_symmetry_Int_Tables_number 1
_symmetry_space_group_name_Hall 'P 1'
loop_
_atom_site_label
_atom_site_type_symbol
_atom_site_fract_x
_atom_site_fract_y
_atom_site_fract_z
O1 O 0.009 0.250 0.347
O2 O 0.299 0.429 0.583
O3 O 0.903 0.249 0.942
O4 O 0.299 0.429 0.920
Rb1 Rb 0.385 0.750 0.250
B1 B 0.163 0.250 0.570
O5 O 0.991 0.750 0.653
O6 O 0.299 0.071 0.917
B2 B 0.163 0.250 0.930
Te1 Te 0.306 0.750 0.932
B3 B 0.107 0.750 0.750
O7 O 0.701 0.929 0.083
O8 O 0.903 0.251 0.558
O9 O 0.366 0.750 0.750
B4 B 0.893 0.250 0.250
O10 O 0.701 0.571 0.080
Rb2 Rb 0.615 0.250 0.750
O11 O 0.701 0.929 0.420
Te2 Te 0.306 0.750 0.568
O12 O 0.097 0.751 0.058
Te3 Te 0.694 0.250 0.068
O13 O 0.634 0.250 0.250
O14 O 0.701 0.571 0.417
B5 B 0.837 0.750 0.070
Te4 Te 0.694 0.250 0.432
O15 O 0.097 0.749 0.442
O16 O 0.009 0.250 0.153
O17 O 0.299 0.071 0.580
O18 O 0.991 0.750 0.847
B6 B 0.837 0.750 0.430
```

Values from the calculation:
- ΔE_f (raw): -28.50 eV per formula unit
- Total moment: 0.00 μB per formula unit

=====

# 6
# Sc2SbAs

A crystal of Sc2SbAs relaxed with PBEsol (SCAN, Alexandria via LeMat-Bulk).

```
data_Sc2SbAs
_chemical_formula_sum 'Sc2 Sb1 As1'
_cell_length_a 4.903
_cell_length_b 4.903
_cell_length_c 4.903
_cell_angle_alpha 60.00
_cell_angle_beta 60.00
_cell_angle_gamma 60.00
_symmetry_space_group_name_H-M 'P 1'
_symmetry_Int_Tables_number 1
_symmetry_space_group_name_Hall 'P 1'
loop_
_atom_site_label
_atom_site_type_symbol
_atom_site_fract_x
_atom_site_fract_y
_atom_site_fract_z
Sc1 Sc 0.000 0.000 0.000
As1 As 0.500 0.500 0.500
Sc2 Sc 0.750 0.750 0.750
Sb1 Sb 0.250 0.250 0.250
```

Values from the calculation:
- ΔE_f (raw): -0.96 eV per formula unit
- Total moment: 0.00 μB per formula unit

=====

# 7
# Ba5In

A crystal of Ba5In relaxed with PBEsol (SCAN, Alexandria via LeMat-Bulk).

```
data_Ba5In
_chemical_formula_sum 'Ba5 In1'
_cell_length_a 4.262
_cell_length_b 4.262
_cell_length_c 16.895
_cell_angle_alpha 90.00
_cell_angle_beta 90.00
_cell_angle_gamma 90.00
_symmetry_space_group_name_H-M 'P 1'
_symmetry_Int_Tables_number 1
_symmetry_space_group_name_Hall 'P 1'
loop_
_atom_site_label
_atom_site_type_symbol
_atom_site_fract_x
_atom_site_fract_y
_atom_site_fract_z
Ba1 Ba 0.500 0.500 0.688
Ba2 Ba 0.500 0.500 0.312
Ba3 Ba 0.000 0.000 0.115
In1 In 0.500 0.500 0.000
Ba4 Ba 0.000 0.000 0.885
Ba5 Ba 0.000 0.000 0.500
```

Values from the calculation:
- Calculated formation energy: -0.1752 eV per atom
- Total moment: 0.90 μB per formula unit

=====

# 8
# SrTlTe2

A crystal of SrTlTe2 relaxed with PBEsol (SCAN, Alexandria via LeMat-Bulk).

```
data_SrTlTe2
_chemical_formula_sum 'Sr1 Tl1 Te2'
_cell_length_a 4.559
_cell_length_b 4.559
_cell_length_c 6.551
_cell_angle_alpha 90.00
_cell_angle_beta 90.00
_cell_angle_gamma 90.00
_symmetry_space_group_name_H-M 'P 1'
_symmetry_Int_Tables_number 1
_symmetry_space_group_name_Hall 'P 1'
loop_
_atom_site_label
_atom_site_type_symbol
_atom_site_fract_x
_atom_site_fract_y
_atom_site_fract_z
Te1 Te 0.000 0.000 0.875
Te2 Te 0.500 0.500 0.375
Tl1 Tl 0.000 0.000 0.375
Sr1 Sr 0.500 0.500 0.875
```

Values from the calculation:
- ΔE_f (raw): -4.02 eV per formula unit
- Total moment: 0.00 μB per formula unit

=====

# 9
# HfSiMoPb2

A crystal of HfSiMoPb2 relaxed with PBEsol (SCAN, Alexandria via LeMat-Bulk).

```
data_HfSiMoPb2
_chemical_formula_sum 'Hf1 Si1 Mo1 Pb2'
_cell_length_a 4.887
_cell_length_b 5.268
_cell_length_c 5.268
_cell_angle_alpha 90.00
_cell_angle_beta 90.00
_cell_angle_gamma 90.00
_symmetry_space_group_name_H-M 'P 1'
_symmetry_Int_Tables_number 1
_symmetry_space_group_name_Hall 'P 1'
loop_
_atom_site_label
_atom_site_type_symbol
_atom_site_fract_x
_atom_site_fract_y
_atom_site_fract_z
Si1 Si 0.500 0.500 0.500
Hf1 Hf 0.500 0.000 0.000
Pb1 Pb 0.000 0.500 0.000
Mo1 Mo 0.000 0.000 0.000
Pb2 Pb 0.000 0.000 0.500
```

Values from the calculation:
- ΔE_f (raw): 4.95 eV per formula unit
- Total moment: 1.08 μB per formula unit

=====

# 10
# LaTaCl

A crystal of LaTaCl relaxed with PBEsol (SCAN, Alexandria via LeMat-Bulk).

```
data_LaTaCl
_chemical_formula_sum 'La1 Ta1 Cl1'
_cell_length_a 3.111
_cell_length_b 3.111
_cell_length_c 7.494
_cell_angle_alpha 97.01
_cell_angle_beta 97.01
_cell_angle_gamma 114.30
_symmetry_space_group_name_H-M 'P 1'
_symmetry_Int_Tables_number 1
_symmetry_space_group_name_Hall 'P 1'
loop_
_atom_site_label
_atom_site_type_symbol
_atom_site_fract_x
_atom_site_fract_y
_atom_site_fract_z
Ta1 Ta 0.349 0.349 0.697
La1 La 0.668 0.668 0.335
Cl1 Cl 0.984 0.984 0.967
```

Values from the calculation:
- ΔE_f (raw): -0.23 eV per formula unit
- Total moment: 0.00 μB per formula unit

=====

# 11
# FeOs2Se

A crystal of FeOs2Se relaxed with PBEsol (SCAN, Alexandria via LeMat-Bulk).

```
data_FeOs2Se
_chemical_formula_sum 'Fe1 Os2 Se1'
_cell_length_a 4.296
_cell_length_b 4.296
_cell_length_c 4.296
_cell_angle_alpha 60.00
_cell_angle_beta 60.00
_cell_angle_gamma 60.00
_symmetry_space_group_name_H-M 'P 1'
_symmetry_Int_Tables_number 1
_symmetry_space_group_name_Hall 'P 1'
loop_
_atom_site_label
_atom_site_type_symbol
_atom_site_fract_x
_atom_site_fract_y
_atom_site_fract_z
Os1 Os 0.750 0.750 0.750
Fe1 Fe 0.500 0.500 0.500
Os2 Os 0.000 0.000 0.000
Se1 Se 0.250 0.250 0.250
```

Values from the calculation:
- ΔE_f (raw): 2.87 eV per formula unit
- Total moment: 2.70 μB per formula unit

=====

# 12
# HBr

A crystal of HBr relaxed with PBEsol (SCAN, Alexandria via LeMat-Bulk).

```
data_HBr
_chemical_formula_sum 'H2 Br2'
_cell_length_a 4.069
_cell_length_b 4.069
_cell_length_c 5.162
_cell_angle_alpha 90.00
_cell_angle_beta 90.00
_cell_angle_gamma 100.76
_symmetry_space_group_name_H-M 'P 1'
_symmetry_Int_Tables_number 1
_symmetry_space_group_name_Hall 'P 1'
loop_
_atom_site_label
_atom_site_type_symbol
_atom_site_fract_x
_atom_site_fract_y
_atom_site_fract_z
Br1 Br 0.242 0.242 0.514
H1 H 0.962 0.962 0.807
H2 H 0.038 0.038 0.307
Br2 Br 0.758 0.758 0.014
```

Values from the calculation:
- Total moment: 0.00 μB per formula unit
- DFT total energy: -11.69 eV/atom

=====

# 13
# SrCaMo

A crystal of SrCaMo relaxed with PBEsol (SCAN, Alexandria via LeMat-Bulk).

```
data_SrCaMo
_chemical_formula_sum 'Sr1 Ca1 Mo1'
_cell_length_a 5.301
_cell_length_b 5.301
_cell_length_c 5.301
_cell_angle_alpha 60.00
_cell_angle_beta 60.00
_cell_angle_gamma 60.00
_symmetry_space_group_name_H-M 'P 1'
_symmetry_Int_Tables_number 1
_symmetry_space_group_name_Hall 'P 1'
loop_
_atom_site_label
_atom_site_type_symbol
_atom_site_fract_x
_atom_site_fract_y
_atom_site_fract_z
Mo1 Mo 0.000 0.000 0.000
Sr1 Sr 0.500 0.500 0.500
Ca1 Ca 0.250 0.250 0.250
```

Values from the calculation:
- Calculated formation energy: 1.5130 eV per atom
- Total moment: 3.84 μB per formula unit

=====

# 14
# KNa3Au

A crystal of KNa3Au relaxed with PBEsol (SCAN, Alexandria via LeMat-Bulk).

```
data_KNa3Au
_chemical_formula_sum 'K1 Na3 Au1'
_cell_length_a 5.711
_cell_length_b 5.711
_cell_length_c 5.711
_cell_angle_alpha 90.00
_cell_angle_beta 90.00
_cell_angle_gamma 90.00
_symmetry_space_group_name_H-M 'P 1'
_symmetry_Int_Tables_number 1
_symmetry_space_group_name_Hall 'P 1'
loop_
_atom_site_label
_atom_site_type_symbol
_atom_site_fract_x
_atom_site_fract_y
_atom_site_fract_z
K1 K 0.500 0.500 0.500
Na1 Na 0.000 0.000 0.500
Au1 Au 0.000 0.000 0.000
Na2 Na 0.000 0.500 0.000
Na3 Na 0.500 0.000 0.000
```

Values from the calculation:
- Calculated formation energy: -0.1606 eV per atom
- Total moment: 0.00 μB per formula unit